Entry 1:
Nd2PuPaSb4, relaxed, DFT PBE-GGA; E_tot = -7.103 eV/atom; D(E_F) = 2.215 states/eV/atom; E_form (uncorrected) = -871.4 meV/atom; calculated density = 8.28 g/cm³; total magnetic moment = 0.76 μB/atom
1.0
7.709 0.000 0.000
0.000 4.456 0.000
-2.567 0.000 7.301
Nd Pu Pa Sb
2 1 1 4
direct
0.000 0.000 0.000
0.500 0.500 0.000
0.000 0.500 0.500
0.500 0.000 0.500
0.250 0.000 0.741
0.256 0.500 0.260
0.744 0.500 0.740
0.750 0.000 0.259



Entry 2:
Nd2PuPaSe4, relaxed, DFT PBE-GGA; E_tot = -7.508 eV/atom; D(E_F) = 1.639 states/eV/atom; E_form (uncorrected) = -1595.7 meV/atom; calculated density = 8.76 g/cm³; total magnetic moment = 0.84 μB/atom
1.0
7.219 0.000 0.000
0.000 4.137 0.000
-2.377 0.000 6.850
Nd Pu Pa Se
2 1 1 4
direct
0.000 0.000 0.000
0.500 0.500 0.000
0.000 0.500 0.500
0.500 0.000 0.500
0.248 0.000 0.741
0.254 0.500 0.259
0.746 0.500 0.741
0.752 0.000 0.259



Entry 3:
NdPu2PaSe4, relaxed, DFT PBE-GGA; E_tot = -8.626 eV/atom; D(E_F) = 2.190 states/eV/atom; E_form (uncorrected) = -1518.1 meV/atom; calculated density = 9.78 g/cm³; total magnetic moment = 1.38 μB/atom
1.0
7.156 0.000 0.000
0.000 4.102 0.000
-2.350 0.000 6.819
Nd Pu Pa Se
1 2 1 4
direct
0.000 0.000 0.000
0.000 0.500 0.500
0.500 0.000 0.500
0.500 0.500 0.000
0.253 0.000 0.747
0.257 0.500 0.255
0.743 0.500 0.745
0.747 0.000 0.253



Entry 4:
NdPuPaSn, relaxed, DFT PBE-GGA; E_tot = -8.160 eV/atom; energy relative to the elements = -0.0101 eV per atom; D(E_F) = 1.840 states/eV/atom; calculated density = 11.53 g/cm³; total magnetic moment = 1.76 μB/atom
1.0
0.000 3.760 3.760
3.760 0.000 3.760
3.760 3.760 0.000
Nd Pu Pa Sn
1 1 1 1
direct
0.000 0.000 0.000
0.500 0.500 0.500
0.750 0.750 0.750
0.250 0.250 0.250



Entry 5:
NdPu2PaTe5, relaxed, DFT PBE-GGA; E_tot = -7.022 eV/atom; D(E_F) = 2.900 states/eV/atom; E_form (uncorrected) = -507.0 meV/atom; calculated density = 6.70 g/cm³; total magnetic moment = 1.50 μB/atom
1.0
5.622 0.000 0.000
0.000 5.622 0.000
0.000 0.000 11.781
Nd Pu Pa Te
1 2 1 5
direct
0.000 0.000 0.000
0.500 0.500 0.338
0.500 0.500 0.662
0.000 0.000 0.500
0.000 0.000 0.250
0.000 0.000 0.750
0.000 0.500 0.500
0.500 0.000 0.500
0.500 0.500 0.000



Entry 6:
RbNd2PaS5, relaxed, DFT PBE-GGA; E_tot = -6.236 eV/atom; D(E_F) = 0.386 states/eV/atom; E_form (uncorrected) = -1720.5 meV/atom; calculated density = 4.96 g/cm³; total magnetic moment = 0.01 μB/atom
1.0
-2.542 3.649 6.911
2.542 -3.649 6.911
2.542 3.649 -6.911
Rb Nd Pa S
1 2 1 5
direct
0.000 0.000 0.000
0.296 0.796 0.500
0.704 0.204 0.500
0.500 0.500 0.000
0.115 0.350 0.764
0.414 0.650 0.764
0.500 0.000 0.500
0.586 0.350 0.236
0.885 0.650 0.236



Entry 7:
Rb3Nd2PaS6, relaxed, DFT PBE-GGA; E_tot = -5.579 eV/atom; D(E_F) = 0.589 states/eV/atom; E_form (uncorrected) = -1687.2 meV/atom; calculated density = 4.61 g/cm³; total magnetic moment = 0.14 μB/atom
1.0
3.607 -6.246 0.000
3.607 6.246 0.000
-2.406 0.000 7.736
Rb Nd Pa S
3 2 1 6
direct
0.000 0.000 0.000
0.330 0.670 0.000
0.670 0.330 0.000
0.166 0.834 0.500
0.834 0.166 0.500
0.500 0.500 0.500
0.114 0.434 0.303
0.246 0.246 0.698
0.434 0.114 0.303
0.566 0.886 0.697
0.754 0.754 0.302
0.886 0.566 0.697



Entry 8:
RbNdPaS4, relaxed, DFT PBE-GGA; E_tot = -6.208 eV/atom; D(E_F) = 0.865 states/eV/atom; E_form (uncorrected) = -1673.9 meV/atom; calculated density = 4.34 g/cm³; total magnetic moment = 0.15 μB/atom
1.0
-4.225 4.368 6.105
4.225 -4.368 6.105
4.225 4.368 -6.105
Rb Nd Pa S
2 2 2 8
direct
0.379 0.129 0.250
0.621 0.871 0.750
0.000 0.500 0.500
0.500 0.500 0.000
0.000 0.000 0.500
0.000 0.500 0.000
0.185 0.734 0.451
0.218 0.266 0.951
0.221 0.254 0.533
0.221 0.688 0.967
0.779 0.312 0.033
0.779 0.746 0.467
0.782 0.734 0.049
0.815 0.266 0.549



Entry 9:
Rb3Nd3PaS8, relaxed, DFT PBE-GGA; E_tot = -5.773 eV/atom; D(E_F) = 0.253 states/eV/atom; E_form (uncorrected) = -1791.5 meV/atom; calculated density = 4.13 g/cm³; total magnetic moment = 0.07 μB/atom
1.0
4.179 2.413 7.826
-4.179 2.413 7.826
0.000 -4.826 7.826
Rb Nd Pa S
3 3 1 8
direct
0.000 0.500 0.500
0.500 0.000 0.500
0.500 0.500 0.000
0.000 0.000 0.500
0.000 0.500 0.000
0.500 0.000 0.000
0.500 0.500 0.500
0.232 0.232 0.232
0.243 0.723 0.723
0.277 0.277 0.757
0.277 0.757 0.277
0.723 0.243 0.723
0.723 0.723 0.243
0.757 0.277 0.277
0.768 0.768 0.768



Entry 10:
Rb4Nd3PaS8, relaxed, DFT PBE-GGA; E_tot = -5.509 eV/atom; D(E_F) = 0.634 states/eV/atom; E_form (uncorrected) = -1716.4 meV/atom; calculated density = 4.46 g/cm³; total magnetic moment = 0.11 μB/atom
1.0
4.188 2.418 7.728
-4.188 2.418 7.728
0.000 -4.836 7.728
Rb Nd Pa S
4 3 1 8
direct
0.000 0.000 0.000
0.000 0.500 0.500
0.500 0.000 0.500
0.500 0.500 0.000
0.000 0.000 0.500
0.000 0.500 0.000
0.500 0.000 0.000
0.500 0.500 0.500
0.233 0.233 0.233
0.243 0.727 0.727
0.273 0.273 0.757
0.273 0.757 0.273
0.727 0.243 0.727
0.727 0.727 0.243
0.757 0.273 0.273
0.767 0.767 0.767



Entry 11:
Rb2NdPaS4, relaxed, DFT PBE-GGA; E_tot = -5.708 eV/atom; D(E_F) = 0.863 states/eV/atom; E_form (uncorrected) = -1619.2 meV/atom; calculated density = 4.87 g/cm³; total magnetic moment = 0.24 μB/atom
1.0
7.180 0.000 0.000
0.000 4.123 0.000
-2.366 0.000 7.763
Rb Nd Pa S
2 1 1 4
direct
0.000 0.000 0.000
0.500 0.500 0.000
0.000 0.500 0.500
0.500 0.000 0.500
0.244 0.000 0.699
0.277 0.500 0.304
0.723 0.500 0.696
0.756 0.000 0.301



Entry 12:
Rb3Nd3PaSe8, relaxed, DFT PBE-GGA; E_tot = -5.308 eV/atom; D(E_F) = 0.241 states/eV/atom; E_form (uncorrected) = -1669.0 meV/atom; calculated density = 4.87 g/cm³; total magnetic moment = 0.07 μB/atom
1.0
4.329 2.499 8.148
-4.329 2.499 8.148
0.000 -4.999 8.148
Rb Nd Pa Se
3 3 1 8
direct
0.000 0.500 0.500
0.500 0.000 0.500
0.500 0.500 0.000
0.000 0.000 0.500
0.000 0.500 0.000
0.500 0.000 0.000
0.500 0.500 0.500
0.234 0.234 0.234
0.242 0.726 0.726
0.274 0.274 0.758
0.274 0.758 0.274
0.726 0.242 0.726
0.726 0.726 0.242
0.758 0.274 0.274
0.766 0.766 0.766



What did the second record say?
Nd2PuPaSe4, relaxed, DFT PBE-GGA; E_tot = -7.508 eV/atom; D(E_F) = 1.639 states/eV/atom; E_form (uncorrected) = -1595.7 meV/atom; calculated density = 8.76 g/cm³; total magnetic moment = 0.84 μB/atom
1.0
7.219 0.000 0.000
0.000 4.137 0.000
-2.377 0.000 6.850
Nd Pu Pa Se
2 1 1 4
direct
0.000 0.000 0.000
0.500 0.500 0.000
0.000 0.500 0.500
0.500 0.000 0.500
0.248 0.000 0.741
0.254 0.500 0.259
0.746 0.500 0.741
0.752 0.000 0.259